Be2Ge2S | Alexandria via LeMat-Bulk | GGA-PBE | optimized geometry; E above lowest polymorph = 35.4 meV/atom; formation energy without anion corrections = 0.537 eV/atom; calculated total energy = -3.626 eV per atom; SG = I4/mmm, No. 139
1.0
-1.954 1.954 5.057
1.954 -1.954 5.057
1.954 1.954 -5.057
Be Ge S
2 2 1
Direct
0.250 0.750 0.500
0.750 0.250 0.500
0.119 0.119 0.000
0.881 0.881 0.000
0.500 0.500 0.000